This record from Alexandria describes a relaxed structure of Ta2InHg. The functional is PBE.

a b c (Å): 10.3751 10.3751 10.3751
angles (deg): 16.85 16.85 16.85
With the nearest neighbours (Å) after each atom.
Atoms (fractional coordinates):
Ta: 0.9986 0.9986 0.9986  9 Ta 3.03-3.04, 3 In 3.04
Ta: 0.2516 0.2516 0.2516  9 Ta 3.03-3.04, 3 Hg 3.05
Hg: 0.5034 0.5034 0.5034  6 Hg 3.04, 3 Ta 3.05, 3 In 3.28
In: 0.7463 0.7463 0.7463  6 In 3.04, 3 Ta 3.04, 3 Hg 3.28

Calculated values
SG: No. 160
energy relative to the elements: 34 kJ per mole of atoms

---

This record from Alexandria describes a relaxed structure of TaIn2Hg. The functional is PBE.

a b c (Å): 5.4743 5.4743 5.3362
angles (deg): 77.76 77.76 33.53
With the nearest neighbours (Å) after each atom.
Atoms (fractional coordinates):
Hg: 0.7500 0.7500 0.7500  4 Ta 3.10, 2 Hg 3.16, 6 In 3.16-3.18
Ta: 0.2500 0.2500 0.2500  6 In 3.01-3.23, 4 Hg 3.10, 2 Ta 3.16
In: 0.5082 0.5082 0.4852  6 In 3.00-3.21, 3 Ta 3.01-3.23, 3 Hg 3.16-3.18
In: 0.9918 0.9918 0.0148  6 In 3.00-3.21, 3 Ta 3.01-3.23, 3 Hg 3.16-3.18

Calculated values
SG: No. 12
energy relative to the elements: 34 kJ per mole of atoms

---

Which formula does entry 1 have? Ta2InHg